! U3BeC3 (PBE-GGA, optimized geometry); values from VASP
&SYSTEM
  ibrav = 0, nat = 14, ntyp = 3
/
ATOMIC_SPECIES
U 238.03 U.upf
Be 9.01 Be.upf
C 12.01 C.upf
CELL_PARAMETERS angstrom
7.095 0.000 0.000
-3.547 6.144 0.000
0.000 0.000 4.754
ATOMIC_POSITIONS angstrom
U -2.057 4.418 1.189
U 0.750 2.154 1.189
U 2.240 0.427 3.566
U 1.307 5.717 1.189
U 2.797 3.991 3.566
U 5.605 1.727 3.566
Be 0.000 4.096 3.566
Be 3.547 2.048 1.189
C -1.791 4.115 3.566
C 0.879 2.536 3.566
C 2.635 0.507 1.189
C 0.912 5.638 3.566
C 2.668 3.608 1.189
C 5.338 2.029 1.189
! Spin magnetization in μB/atom: 0.83
! Energy of formation from the pure elements in eV per atom: -0.027

! Nd3Ga (PBE-GGA, optimized geometry); values from VASP
&SYSTEM
  ibrav = 0, nat = 4, ntyp = 2
/
ATOMIC_SPECIES
Nd 144.24 Nd.upf
Ga 69.72 Ga.upf
CELL_PARAMETERS angstrom
4.860 0.000 0.000
0.000 4.860 0.000
0.000 0.000 4.860
ATOMIC_POSITIONS angstrom
Nd 0.000 0.000 2.430
Nd 0.000 2.430 0.000
Nd 2.430 0.000 0.000
Ga 2.430 2.430 2.430
! Spin magnetization in μB/atom: 0.00
! Energy of formation from the pure elements in eV per atom: -0.235
! Energy above the lowest structure with this stoichiometry in meV/atom: 20

| no. | DOS(E_F) (states/eV/atom) |
| --- | --- |
| 1 | 1.509 |
| 2 | 1.554 |